Material: Y2TlPb
Method: DFT, PBEsol
State: optimized geometry

The structure in CIF format:
```
data_Y2TlPb
_chemical_formula_sum 'Y2 Tl1 Pb1'
_space_group_name_H-M_alt 'P 1 m 1'
_space_group_IT_number 6
_cell_length_a 4.508
_cell_length_b 4.308
_cell_length_c 6.122
_cell_angle_alpha 90.00
_cell_angle_beta 111.57
_cell_angle_gamma 90.00
loop_
_space_group_symop_operation_xyz
'x,y,z'
'x,-y,z'
loop_
_atom_site_label
_atom_site_fract_x
_atom_site_fract_y
_atom_site_fract_z
Y1 0.000 0.000 0.000
Y2 0.266 0.500 0.535
Tl1 0.730 0.000 0.463
Pb1 0.542 0.500 0.084
```

Values from the calculation:
Energy of formation = -0.53 eV/atom
Size of the total moment = 0.00 μB per atom
DFT total energy = -22.383 eV for the cell shown
D(E_F) = 3.23 states/eV/f.u.

=====

Material: Ca3TeBr
Method: DFT, PBEsol
State: optimized geometry

The structure in CIF format:
```
data_Ca3TeBr
_chemical_formula_sum 'Ca3 Te1 Br1'
_space_group_name_H-M_alt 'P m -3 m'
_space_group_IT_number 221
_space_group_name_Hall '-P 4 2 3'
_cell_length_a 5.857
_cell_length_b 5.857
_cell_length_c 5.857
_cell_angle_alpha 90.00
_cell_angle_beta 90.00
_cell_angle_gamma 90.00
loop_
_atom_site_label
_atom_site_fract_x
_atom_site_fract_y
_atom_site_fract_z
Ca1 0.000 0.000 0.500
Te1 0.000 0.000 0.000
Br1 0.500 0.500 0.500
```

Values from the calculation:
Size of the total moment = 0.12 μB per atom
E_form (uncorrected) = -522 meV/atom
DFT total energy = -14.403 eV for the cell shown
D(E_F) = 6.74 states/eV/f.u.

=====

Material: MnInSiTe2
Method: DFT, PBEsol
State: optimized geometry

The structure in CIF format:
```
data_MnInSiTe2
_chemical_formula_sum 'Mn1 In1 Si1 Te2'
_space_group_name_H-M_alt 'P 4/m m m'
_space_group_IT_number 123
_space_group_name_Hall '-P 4 2'
_cell_length_a 5.351
_cell_length_b 5.351
_cell_length_c 4.933
_cell_angle_alpha 90.00
_cell_angle_beta 90.00
_cell_angle_gamma 90.00
loop_
_atom_site_label
_atom_site_fract_x
_atom_site_fract_y
_atom_site_fract_z
Mn1 0.000 0.000 0.000
In1 0.500 0.500 0.000
Si1 0.500 0.500 0.500
Te1 0.000 0.500 0.500
```

Values from the calculation:
Size of the total moment = 0.99 μB per atom
E_form (uncorrected) = 707 meV/atom
DFT total energy = -22.010 eV for the cell shown
D(E_F) = 3.07 states/eV/f.u.

=====

Material: Zr2ScPb
Method: DFT, PBEsol
State: optimized geometry

The structure in CIF format:
```
data_Zr2ScPb
_chemical_formula_sum 'Zr4 Sc2 Pb2'
_space_group_name_H-M_alt 'C 1 m 1'
_space_group_IT_number 8
_cell_length_a 10.524
_cell_length_b 3.256
_cell_length_c 5.383
_cell_angle_alpha 90.00
_cell_angle_beta 103.63
_cell_angle_gamma 90.00
loop_
_space_group_symop_operation_xyz
'x,y,z'
'x,-y,z'
'x+1/2,y+1/2,z'
'x+1/2,-y+1/2,z'
loop_
_atom_site_label
_atom_site_fract_x
_atom_site_fract_y
_atom_site_fract_z
Zr1 0.000 0.000 0.000
Zr2 0.249 0.500 0.228
Sc1 0.006 0.500 0.511
Pb1 0.255 0.000 0.732
```

Values from the calculation:
Energy of formation = -0.14 eV/atom
Size of the total moment = 0.00 μB per atom
DFT total energy = -58.704 eV for the cell shown
D(E_F) = 3.98 states/eV/f.u.